[1]
Compound: Ta2AlSb
Source: Alexandria via LeMat-Bulk
Functional: GGA-PBEsol
Structure: relaxed

Unit cell a=5.871 b=8.681 c=2.973 alpha=90.00 beta=107.66 gamma=90.00
Positions (direct):
1 Ta 0.250 0.250 0.000
2 Ta 0.250 0.750 0.000
3 Ta 0.750 0.250 0.000
4 Ta 0.750 0.750 0.000
5 Al 0.000 0.000 0.500
6 Al 0.500 0.500 0.500
7 Sb 0.000 0.500 0.500
8 Sb 0.500 0.000 0.500

Values from the calculation:
- crystal system = monoclinic
- SG = C2/m, No. 12
- density (kg/m³) = 11746
- V (Å³ per cell) = 144.4


[2]
Compound: TaAlSb2
Source: Alexandria via LeMat-Bulk
Functional: GGA-PBEsol
Structure: relaxed

Unit cell a=9.835 b=3.133 c=5.328 alpha=90.00 beta=95.55 gamma=90.00
Positions (direct):
1 Ta 0.000 0.000 0.000
2 Ta 0.500 0.500 0.000
3 Al 0.000 0.500 0.500
4 Al 0.500 0.000 0.500
5 Sb 0.231 0.500 0.240
6 Sb 0.269 0.000 0.760
7 Sb 0.731 0.000 0.240
8 Sb 0.769 0.500 0.760

Values from the calculation:
- crystal system = monoclinic
- SG = C2/m, No. 12
- density (kg/m³) = 9175
- V (Å³ per cell) = 163.4


[3]
Compound: TaAlSb
Source: Alexandria via LeMat-Bulk
Functional: GGA-PBEsol
Structure: relaxed

Unit cell a=3.492 b=3.492 c=8.876 alpha=90.00 beta=90.00 gamma=90.00
Positions (direct):
1 Ta 0.000 0.000 0.000
2 Ta 0.500 0.500 0.500
3 Al 0.000 0.000 0.661
4 Al 0.500 0.500 0.161
5 Sb 0.000 0.000 0.335
6 Sb 0.500 0.500 0.835

Values from the calculation:
- crystal system = tetragonal
- SG = I4mm, No. 107
- density (kg/m³) = 10116
- V (Å³ per cell) = 108.2


[4]
Compound: TaAlSb2
Source: Alexandria via LeMat-Bulk
Functional: GGA-PBEsol
Structure: relaxed

Unit cell a=3.596 b=4.786 c=9.274 alpha=90.00 beta=90.00 gamma=90.00
Positions (direct):
1 Ta 0.000 0.000 0.000
2 Ta 0.500 0.500 0.500
3 Al 0.000 0.500 0.736
4 Al 0.500 0.000 0.236
5 Sb 0.000 0.000 0.472
6 Sb 0.000 0.500 0.238
7 Sb 0.500 0.000 0.738
8 Sb 0.500 0.500 0.972

Values from the calculation:
- crystal system = orthorhombic
- SG = Imm2, No. 44
- density (kg/m³) = 9395
- V (Å³ per cell) = 159.6


[5]
Compound: Ta2AlSb2
Source: Alexandria via LeMat-Bulk
Functional: GGA-PBEsol
Structure: relaxed

Unit cell a=3.975 b=3.975 c=13.648 alpha=90.00 beta=90.00 gamma=90.00
Positions (direct):
1 Ta 0.000 0.000 0.097
2 Ta 0.000 0.000 0.903
3 Ta 0.500 0.500 0.403
4 Ta 0.500 0.500 0.597
5 Al 0.000 0.000 0.500
6 Al 0.500 0.500 0.000
7 Sb 0.000 0.500 0.250
8 Sb 0.000 0.500 0.750
9 Sb 0.500 0.000 0.250
10 Sb 0.500 0.000 0.750

Values from the calculation:
- crystal system = tetragonal
- SG = I4/mmm, No. 139
- density (kg/m³) = 9741
- V (Å³ per cell) = 215.6


[6]
Compound: Ta2AlSb
Source: Alexandria via LeMat-Bulk
Functional: GGA-PBEsol
Structure: relaxed

Unit cell a=3.221 b=3.221 c=6.933 alpha=90.00 beta=90.00 gamma=90.00
Positions (direct):
1 Ta 0.000 0.000 0.250
2 Ta 0.000 0.000 0.750
3 Al 0.500 0.500 0.000
4 Sb 0.500 0.500 0.500

Values from the calculation:
- crystal system = tetragonal
- SG = P4/mmm, No. 123
- density (kg/m³) = 11790
- V (Å³ per cell) = 71.9


[7]
Compound: Al2TcSb
Source: Alexandria via LeMat-Bulk
Functional: GGA-PBEsol
Structure: relaxed

Unit cell a=6.427 b=6.427 c=6.427 alpha=90.00 beta=90.00 gamma=90.00
Positions (direct):
1 Al 0.000 0.000 0.000
2 Al 0.000 0.500 0.500
3 Al 0.250 0.250 0.250
4 Al 0.250 0.750 0.750
5 Al 0.500 0.000 0.500
6 Al 0.500 0.500 0.000
7 Al 0.750 0.250 0.750
8 Al 0.750 0.750 0.250
9 Tc 0.250 0.250 0.750
10 Tc 0.250 0.750 0.250
11 Tc 0.750 0.250 0.250
12 Tc 0.750 0.750 0.750
13 Sb 0.000 0.000 0.500
14 Sb 0.000 0.500 0.000
15 Sb 0.500 0.000 0.000
16 Sb 0.500 0.500 0.500

Values from the calculation:
- crystal system = cubic
- SG = F-43m, No. 216
- density (kg/m³) = 6849
- V (Å³ per cell) = 265.4


[8]
Compound: Al2TcSb
Source: Alexandria via LeMat-Bulk
Functional: GGA-PBEsol
Structure: relaxed

Unit cell a=4.082 b=4.082 c=7.873 alpha=90.00 beta=90.00 gamma=90.00
Positions (direct):
1 Al 0.000 0.000 0.000
2 Al 0.000 0.500 0.250
3 Al 0.500 0.000 0.750
4 Al 0.500 0.500 0.500
5 Tc 0.000 0.500 0.750
6 Tc 0.500 0.000 0.250
7 Sb 0.000 0.000 0.500
8 Sb 0.500 0.500 0.000

Values from the calculation:
- crystal system = tetragonal
- SG = I-4m2, No. 119
- density (kg/m³) = 6931
- V (Å³ per cell) = 131.2


Number 1: E_tot -8.34 eV per atom. Number 2: E_tot -6.21 eV per atom. Number 3: E_tot -7.24 eV per atom. Number 4: E_tot -6.21 eV per atom. Number 5: E_tot -7.12 eV per atom. Number 6: E_tot -8.28 eV per atom. Number 7: E_tot -5.76 eV per atom. Number 8: E_tot -5.85 eV per atom.